## NiAs2Pb2 (GGA-PBE)

Data for a geometry-optimized NiAs2Pb2 structure.

- D(E_F): 0.716 states/eV per atom
- Energy relative to the elements: 0.02 eV per atom

Geometry as CIF:
```
data_NiAs2Pb2
_chemical_formula_sum 'Ni2 As4 Pb4'
_cell_length_a 6.295
_cell_length_b 6.295
_cell_length_c 5.719
_cell_angle_alpha 90.00
_cell_angle_beta 90.00
_cell_angle_gamma 90.00
_symmetry_space_group_name_H-M 'P 4/m b m'
_symmetry_Int_Tables_number 127
_symmetry_space_group_name_Hall '-P 4 2ab'
loop_
_atom_site_label
_atom_site_type_symbol
_atom_site_fract_x
_atom_site_fract_y
_atom_site_fract_z
Ni1 Ni 0.000 0.000 0.000
As1 As 0.145 0.355 0.000
Pb1 Pb 0.198 0.698 0.500
```

## NiAsPb3 (GGA-PBE)

Data for a geometry-optimized NiAsPb3 structure.

- D(E_F): 0.445 states/eV per atom
- ΔE to the lowest computed polymorph: 0 meV per atom
- Energy relative to the elements: 0.20 eV per atom

Geometry as CIF:
```
data_NiAsPb3
_chemical_formula_sum 'Ni1 As1 Pb3'
_cell_length_a 5.119
_cell_length_b 5.119
_cell_length_c 5.119
_cell_angle_alpha 90.00
_cell_angle_beta 90.00
_cell_angle_gamma 90.00
_symmetry_space_group_name_H-M 'P m -3 m'
_symmetry_Int_Tables_number 221
_symmetry_space_group_name_Hall '-P 4 2 3'
loop_
_atom_site_label
_atom_site_type_symbol
_atom_site_fract_x
_atom_site_fract_y
_atom_site_fract_z
Ni1 Ni 0.000 0.000 0.000
As1 As 0.500 0.500 0.500
Pb1 Pb 0.000 0.000 0.500
```

## NiAs4Pb (GGA-PBE)

Data for a geometry-optimized NiAs4Pb structure.

- D(E_F): 1.020 states/eV per atom
- Energy relative to the elements: 0.53 eV per atom

Geometry as CIF:
```
data_NiAs4Pb
_chemical_formula_sum 'Ni4 As16 Pb4'
_cell_length_a 7.949
_cell_length_b 7.949
_cell_length_c 7.949
_cell_angle_alpha 90.00
_cell_angle_beta 90.00
_cell_angle_gamma 90.00
_symmetry_space_group_name_H-M 'F -4 3 m'
_symmetry_Int_Tables_number 216
_symmetry_space_group_name_Hall 'F -4 2 3'
loop_
_atom_site_label
_atom_site_type_symbol
_atom_site_fract_x
_atom_site_fract_y
_atom_site_fract_z
Ni1 Ni 0.000 0.000 0.000
As1 As 0.127 0.127 0.373
Pb1 Pb 0.250 0.250 0.750
```

## NiAsPb2 (GGA-PBE)

Data for a geometry-optimized NiAsPb2 structure.

- D(E_F): 0.615 states/eV per atom
- Energy relative to the elements: 0.34 eV per atom

Geometry as CIF:
```
data_NiAsPb2
_chemical_formula_sum 'Ni2 As2 Pb4'
_cell_length_a 6.726
_cell_length_b 6.940
_cell_length_c 3.892
_cell_angle_alpha 90.00
_cell_angle_beta 90.18
_cell_angle_gamma 90.00
_symmetry_space_group_name_H-M 'C 1 2/m 1'
_symmetry_Int_Tables_number 12
loop_
_symmetry_equiv_pos_as_xyz
'x,y,z'
'-x,-y,-z'
'-x,y,-z'
'x,-y,z'
'x+1/2,y+1/2,z'
'-x+1/2,-y+1/2,-z'
'-x+1/2,y+1/2,-z'
'x+1/2,-y+1/2,z'
loop_
_atom_site_label
_atom_site_type_symbol
_atom_site_fract_x
_atom_site_fract_y
_atom_site_fract_z
Ni1 Ni 0.000 0.000 0.000
As1 As 0.000 0.500 0.000
Pb1 Pb 0.250 0.250 0.500
```